DFT (GGA-PBE) results for a relaxed BaInPt2 crystal.

Unit cell a=4.7661 b=4.5984 c=5.3674 alpha=90.00 beta=100.74 gamma=90.00
With the nearest neighbours (Å) after each atom.
Element x y z (fractional)
Ba  0.0000  0.0000  0.0000  7 Pt 3.17-3.42
In  0.4594  0.5000  0.6390  4 Pt 2.63-2.78
Pt  0.5271  0.5000  0.1362  2 In 2.63-2.78, 2 Pt 2.73
Pt  0.5672  0.0000  0.4159  2 In 2.69, 2 Pt 2.73

Calculated values
Its space-group type is Pm (6). As for the density of states at the Fermi level: 0.479 states/eV/atom. For the density, the calculation gives 9.23 g/cm3. The value obtained for the energy relative to the elements is -2.2 eV/f.u.